Entry 1:
VASP calculation (GGA-PBE) on YCuOs2 after structural relaxation.

Cell lengths 2.9524, 2.9524, 7.6132 Å; angles 90.00, 90.00, 90.00 degrees
Last column: nearest neighbours and their distance in Å.
Fractional coordinates of all 4 atoms:
Cu  0.5000  0.5000  0.7840  4 Os 2.66, 4 Cu 2.95, 4 Y 2.98
Os  0.0000  0.0000  0.0012  4 Os 2.62, 4 Cu 2.66
Os  0.5000  0.5000  0.2101  4 Os 2.62
Y  0.0000  0.0000  0.5047  4 Y 2.95, 4 Cu 2.98, 4 Os 3.06

Properties
The calculation puts the density of states at the Fermi level at 3.97 states/eV per cell. Its offset from the most stable computed form is 0.09 eV per formula unit. The value obtained for the formation energy is 197.6 meV per atom. The calculation puts the volume at 66.4 Å³/cell.


Entry 2:
VASP calculation (GGA-PBE) on Ac6LaMg5 after structural relaxation.

Cell lengths 5.8553, 8.3178, 9.3395 Å; angles 90.00, 71.73, 90.00 degrees
Last column: nearest neighbours and their distance in Å.
Fractional coordinates of all 12 atoms:
Ac  0.8282  0.7458  0.3436  7 Mg 3.51-3.67, 1 La 3.71
Ac  0.8282  0.2542  0.3436  7 Mg 3.51-3.67, 1 La 3.71
Ac  0.5000  0.2660  0.0000  6 Mg 3.52-3.59, 2 La 3.67, 1 Ac 3.89
Ac  0.5000  0.7340  0.0000  6 Mg 3.52-3.59, 2 La 3.67, 1 Ac 3.89
Ac  0.1718  0.7458  0.6564  7 Mg 3.51-3.67, 1 La 3.71
Ac  0.1718  0.2542  0.6564  7 Mg 3.51-3.67, 1 La 3.71
Mg  0.6674  0.5000  0.6653  8 Ac 3.51-3.57
Mg  0.3406  0.0000  0.3188  8 Ac 3.59-3.67
Mg  0.0000  0.5000  0.0000  8 Ac 3.52-3.67
Mg  0.6594  0.0000  0.6812  8 Ac 3.59-3.67
Mg  0.3326  0.5000  0.3347  8 Ac 3.51-3.57
La  0.0000  0.0000  0.0000  8 Ac 3.67-3.71, 4 Mg 4.07

Properties
The calculation puts the density of states at the Fermi level at 14.13 states/eV per cell. The value obtained for the formation energy is -31.3 meV per atom. The calculation puts the volume at 431.9 Å³/cell.


Entry 3:
VASP calculation (GGA-PBE) on NbAlRu3 after structural relaxation.

Cell lengths 4.3558, 4.3558, 4.3558 Å; angles 90.00, 90.00, 90.00 degrees
Last column: nearest neighbours and their distance in Å.
Fractional coordinates of all 5 atoms:
Ru  0.0000  0.5000  0.0000  2 Al 2.18
Ru  0.0000  0.0000  0.5000  2 Al 2.18
Ru  0.5000  0.0000  0.0000  2 Al 2.18
Nb  0.5000  0.5000  0.5000  12 Ru 3.08
Al  0.0000  0.0000  0.0000  6 Ru 2.18

Properties
The calculation puts the density of states at the Fermi level at 2.50 states/eV per cell. Its offset from the most stable computed form is 0.00 eV per formula unit. The value obtained for the formation energy is 712.7 meV per atom. The calculation puts the volume at 82.6 Å³/cell.